Compound: CeYRuAu
Source: Alexandria
Functional: PBE
Structure: optimized geometry

Crystal system = cubic
DFT formation energy = -0.464 eV/atom
Spin magnetization = 0.14 μB/atom

```
CeYRuAu
1.0
5.0153 0.0000 0.0000
2.5076 4.3433 0.0000
2.5076 1.4478 4.0949
Ce Y Au Ru
1 1 1 1
Direct
0.2500 0.2500 0.2500
0.7500 0.7500 0.7500
0.0000 0.0000 0.0000
0.5000 0.5000 0.5000
```

---

Compound: Ce2ZnRuAu
Source: Alexandria
Functional: PBE
Structure: optimized geometry

Crystal system = monoclinic
DFT formation energy = -0.481 eV/atom
Spin magnetization = 0.14 μB/atom

```
Ce2ZnRuAu
1.0
-1.3953 1.9944 -3.1759
-7.1573 0.1591 3.2444
3.9085 6.0769 2.0989
Zn Ce Ru Au
2 4 2 2
Direct
0.2500 0.5471 0.6412
0.7500 0.4529 0.3588
0.7500 0.7154 0.0197
0.7500 0.8819 0.6406
0.2500 0.2846 0.9803
0.2500 0.1181 0.3594
0.2500 0.8731 0.8830
0.7500 0.1269 0.1170
0.2500 0.6856 0.3200
0.7500 0.3144 0.6800
```

---

Compound: Ce2AuS
Source: Alexandria
Functional: PBE
Structure: optimized geometry

Crystal system = trigonal
Spin magnetization = 0.53 μB/atom
Formation energy from raw total energies = -1.081 eV/atom

```
Ce2AuS
1.0
-3.4345 -1.9521 0.2509
-0.4819 -3.4159 -1.9413
1.3351 -5.6464 5.5683
Ce S Au
2 1 1
Direct
0.0863 0.0863 0.7411
0.2468 0.2468 0.2597
0.4995 0.4995 0.5014
0.6674 0.6674 0.9979
```

---

Compound: Ce2AuS4
Source: Alexandria
Functional: PBE
Structure: optimized geometry

Crystal system = monoclinic
Spin magnetization = 0.15 μB/atom
Formation energy from raw total energies = -1.515 eV/atom

```
Ce2AuS4
1.0
-4.0981 1.3358 -0.7689
-3.9461 -0.7027 7.3446
0.1866 9.9117 3.7593
S Ce Au
8 4 2
Direct
0.5858 0.4762 0.3521
0.2258 0.1471 0.4013
0.9778 0.7838 0.2607
0.8040 0.3390 0.0529
0.4142 0.5238 0.6479
0.1960 0.6610 0.9471
0.7742 0.8529 0.5987
0.0222 0.2162 0.7393
0.3859 0.7926 0.4355
0.1795 0.4440 0.1970
0.6141 0.2074 0.5645
0.8205 0.5560 0.8030
0.9004 0.0558 0.1435
0.0996 0.9442 0.8565
```

---

Compound: CeAuS
Source: Alexandria
Functional: PBE
Structure: optimized geometry

Crystal system = orthorhombic
Spin magnetization = 0.34 μB/atom
Formation energy from raw total energies = -1.270 eV/atom

```
CeAuS
1.0
-3.8300 -1.2536 1.0126
-0.0681 -3.2783 -4.3161
4.3158 -3.9378 2.9228
S Ce Au
2 2 2
Direct
0.8026 0.7500 0.6053
0.1974 0.2500 0.3947
0.8551 0.2500 0.7102
0.1449 0.7500 0.2898
0.5335 0.2500 0.0671
0.4665 0.7500 0.9329
```

---

Compound: CeAuS3
Source: Alexandria
Functional: PBE
Structure: optimized geometry

Crystal system = monoclinic
Spin magnetization = 0.06 μB/atom
Formation energy from raw total energies = -0.994 eV/atom

```
CeAuS3
1.0
4.0884 -0.0942 0.0000
-0.3232 6.3890 0.0000
0.0000 0.0000 8.4069
S Ce Au
6 2 2
Direct
0.7185 0.3121 0.0555
0.8063 0.8253 0.2500
0.1937 0.1747 0.7500
0.7185 0.3121 0.4445
0.2815 0.6879 0.9445
0.2815 0.6879 0.5555
0.2409 0.5006 0.2500
0.7591 0.4994 0.7500
0.0000 0.0000 0.0000
0.0000 0.0000 0.5000
```

---

Compound: Ce2AuS
Source: Alexandria
Functional: PBE
Structure: optimized geometry

Crystal system = trigonal
Spin magnetization = 0.48 μB/atom
Formation energy from raw total energies = -1.202 eV/atom

```
Ce2AuS
1.0
4.0635 0.0000 0.0000
2.0318 3.5191 0.0000
2.0318 1.1730 7.1933
S Au Ce
1 1 2
Direct
0.5000 0.5000 0.5000
0.0000 0.0000 0.0000
0.2422 0.2422 0.2735
0.7578 0.7578 0.7265
```

---

Compound: Ce3Au5S12
Source: Alexandria
Functional: PBE
Structure: optimized geometry

Crystal system = cubic
Spin magnetization = 0.00 μB/atom
Formation energy from raw total energies = -0.651 eV/atom

```
Ce3Au5S12
1.0
13.2789 0.0000 0.0000
-4.4263 12.5195 0.0000
-4.4263 -6.2597 10.8422
Au Ce S
20 12 48
Direct
0.2500 0.8750 0.1250
0.1250 0.3750 0.2500
0.5000 0.0000 0.0000
0.8750 0.2500 0.6250
0.5000 0.5000 0.5000
0.5000 0.0000 0.5000
0.0000 0.0000 0.0000
0.0000 0.5000 0.0000
0.0000 0.5000 0.5000
0.8750 0.6250 0.7500
0.5000 0.5000 0.0000
0.3750 0.1250 0.7500
0.6250 0.7500 0.8750
0.7500 0.6250 0.3750
0.1250 0.7500 0.3750
0.7500 0.1250 0.8750
0.0000 0.0000 0.5000
0.2500 0.3750 0.6250
0.3750 0.2500 0.1250
0.6250 0.8750 0.2500
0.6250 0.2500 0.3750
0.2500 0.1250 0.3750
0.8750 0.1250 0.2500
0.2500 0.6250 0.8750
0.1250 0.8750 0.7500
0.1250 0.2500 0.8750
0.7500 0.8750 0.6250
0.3750 0.7500 0.6250
0.8750 0.7500 0.1250
0.7500 0.3750 0.1250
0.3750 0.6250 0.2500
0.6250 0.3750 0.7500
0.3307 0.7867 0.4163
0.2867 0.8704 0.9560
0.6296 0.5856 0.9163
0.5440 0.2133 0.1296
0.6693 0.2133 0.5837
0.3704 0.9560 0.7867
0.5837 0.7133 0.6693
0.9163 0.8307 0.7867
0.0837 0.1693 0.2133
0.4144 0.0440 0.3307
0.9560 0.3704 0.2867
0.7867 0.4560 0.3704
0.1693 0.0856 0.9560
0.9144 0.8307 0.5440
0.9560 0.5856 0.1693
0.0440 0.6296 0.7133
0.4144 0.3704 0.5837
0.8704 0.2867 0.4560
0.0837 0.9144 0.3704
0.1693 0.0837 0.7133
0.0856 0.1693 0.4560
0.7867 0.3307 0.9163
0.3704 0.4144 0.0837
0.8704 0.5837 0.9144
0.4163 0.2867 0.3307
0.4560 0.6693 0.0856
0.7133 0.1296 0.0440
0.7133 0.5837 0.1693
0.9144 0.0837 0.8704
0.8307 0.9144 0.0440
0.2867 0.4163 0.8307
0.6693 0.4560 0.5856
0.3307 0.5440 0.4144
0.6296 0.0440 0.2133
0.4163 0.1296 0.5856
0.0856 0.9163 0.1296
0.8307 0.9163 0.2867
0.5856 0.9560 0.6693
0.5856 0.6296 0.4163
0.5837 0.8704 0.4144
0.4560 0.7867 0.8704
0.5440 0.3307 0.9144
0.1296 0.7133 0.5440
0.2133 0.6693 0.0837
0.0440 0.4144 0.8307
0.2133 0.5440 0.6296
0.1296 0.4163 0.0856
0.9163 0.0856 0.6296
```

---

- Which value of spin magnetization does entry 7 give?
  0.48 μB/atom

---

- Among the records above, which one has the highest spin magnetization?
  number 3